# 1
Computed, not measured: an optimized crystal structure of AlCu2As2 at the PBE level of DFT.

Cell lengths 7.648, 7.648, 2.786 Å; angles 90.00, 90.00, 90.00 degrees
Fractional positions:
As: 0.330 0.830 0.000
As: 0.830 0.670 0.000
As: 0.670 0.170 0.000
As: 0.170 0.330 0.000
Al: 0.000 0.000 0.000
Al: 0.500 0.500 0.000
Cu: 0.126 0.626 0.500
Cu: 0.626 0.874 0.500
Cu: 0.874 0.374 0.500
Cu: 0.374 0.126 0.500

Results
space-group type: P4/mbm
ΔH_f (0 K): 0.158 eV/atom

# 2
Computed, not measured: an optimized crystal structure of Th4Te3Au at the PBE level of DFT.

Cell lengths 4.438, 7.716, 7.716 Å; angles 109.23, 90.00, 90.00 degrees
Fractional positions:
Th: 0.000 0.228 0.228
Th: 0.500 0.759 0.241
Th: 0.000 0.772 0.772
Th: 0.500 0.241 0.759
Te: 0.000 0.000 0.500
Te: 0.500 0.500 0.500
Te: 0.000 0.500 0.000
Au: 0.500 0.000 0.000

Results
energy relative to the lowest polymorph listed for this composition: 0.00 eV per formula unit
space-group type: Cmmm
energy relative to the elements, uncorrected: -0.936 eV per atom

# 3
Computed, not measured: an optimized crystal structure of Ta2BeTl at the PBE level of DFT.

Cell lengths 3.445, 3.445, 6.168 Å; angles 90.00, 90.00, 90.00 degrees
Fractional positions:
Be: 0.500 0.500 0.793
Tl: 0.000 0.000 0.518
Ta: 0.000 0.000 0.992
Ta: 0.500 0.500 0.197

Results
energy relative to the lowest polymorph listed for this composition: 0.39 eV per formula unit
space-group type: P4mm
ΔH_f (0 K): 0.401 eV/atom

# 4
Computed, not measured: an optimized crystal structure of ZrScNO2 at the PBE level of DFT.

Cell lengths 4.043, 4.043, 4.340 Å; angles 90.00, 90.00, 90.00 degrees
Fractional positions:
Sc: 0.500 0.500 0.500
O: 0.000 0.500 0.000
O: 0.500 0.000 0.000
Zr: 0.000 0.000 0.000
N: 0.000 0.000 0.500

Results
space-group type: P4/mmm
energy relative to the elements, uncorrected: -1.848 eV per atom

# 5
Computed, not measured: an optimized crystal structure of Cs5RbAu5 at the PBE level of DFT.

Cell lengths 7.294, 8.972, 10.396 Å; angles 106.73, 90.00, 113.98 degrees
Fractional positions:
Cs: 0.674 0.348 0.323
Cs: 0.674 0.347 0.849
Cs: 0.000 0.000 0.500
Cs: 0.326 0.653 0.151
Cs: 0.326 0.652 0.677
Rb: 0.000 0.000 0.000
Au: 0.843 0.685 0.171
Au: 0.835 0.669 0.666
Au: 0.500 0.000 0.000
Au: 0.165 0.331 0.334
Au: 0.157 0.315 0.829

Results
space-group type: C2/m
ΔH_f (0 K): -0.281 eV/atom

# 6
Computed, not measured: an optimized crystal structure of Na2HgAuCl6 at the PBE level of DFT.

Cell lengths 6.959, 7.503, 8.141 Å; angles 56.93, 57.77, 55.70 degrees
Site moments in Bohr magnetons follow the coordinates.
Fractional positions:
Na: 0.524 0.482 0.461  0.00
Na: 0.036 0.028 0.951  0.00
Hg: 0.319 0.327 0.038  0.01
Au: 0.824 0.824 0.515  0.42
Cl: 0.613 0.195 0.283  0.11
Cl: 0.206 0.899 0.270  0.11
Cl: 0.960 0.569 0.223  0.01
Cl: 0.445 0.750 0.719  0.11
Cl: 0.676 0.121 0.815  0.01
Cl: 0.058 0.469 0.740  0.10

Results
space-group type: P1
energy relative to the elements, uncorrected: -0.944 eV per atom

# 7
Computed, not measured: an optimized crystal structure of Tb2Cu9Au at the PBE level of DFT.

Cell lengths 5.103, 5.103, 8.659 Å; angles 72.86, 72.86, 60.00 degrees
Fractional positions:
Tb: 0.867 0.867 0.400
Tb: 0.133 0.133 0.600
Cu: 0.667 0.667 0.999
Cu: 0.333 0.333 0.001
Cu: 0.500 0.500 0.500
Cu: 0.417 0.417 0.245
Cu: 0.921 0.417 0.245
Cu: 0.417 0.921 0.245
Cu: 0.583 0.583 0.755
Cu: 0.583 0.079 0.755
Cu: 0.079 0.583 0.755
Au: 0.000 0.000 0.000

Results
space-group type: R-3m
ΔH_f (0 K): -0.104 eV/atom

# 8
Computed, not measured: an optimized crystal structure of CdRu2O at the PBE level of DFT.

Cell lengths 6.456, 6.456, 5.476 Å; angles 53.88, 53.88, 90.00 degrees
Fractional positions:
Ru: 0.493 0.125 0.250
Ru: 0.257 0.625 0.250
Ru: 0.375 0.507 0.750
Ru: 0.875 0.743 0.750
O: 0.500 0.500 0.000
O: 0.250 0.750 0.500
Cd: 0.000 0.000 0.000
Cd: 0.750 0.250 0.500

Results
energy relative to the lowest polymorph listed for this composition: 0.00 eV per formula unit
space-group type: I-42d
energy relative to the elements, uncorrected: 0.227 eV per atom

The records above give, respectively, volume values of 16.30, 31.18, 18.30, 14.18, 53.63, 27.82, 15.30, 15.75 Å³/atom.